Density functional theory data (PBE-GGA) for a relaxed Ce2PmDyBi5 crystal.

## Properties
Final energy in Ry/atom: -0.34100
Symmetry: P4/mmm, No. 123
Volume in Å³ per atom: 39.55
Energy of formation from the pure elements in kcal/mol of atoms: -2.90

Unit cell a=5.4488 b=5.4488 c=11.9889 alpha=90.00 beta=90.00 gamma=90.00
Closest atoms and distances in Å follow each position.
Sites, in units of the cell vectors:
Ce 0.0000 0.0000 0.2183  5 Bi 3.38-3.78
Ce 0.0000 0.0000 0.7817  5 Bi 3.38-3.78
Pm 0.5000 0.5000 0.5000  2 Bi 2.99
Dy 0.5000 0.5000 0.0000  6 Bi 2.72-3.00
Bi 0.0000 0.0000 0.5000  2 Ce 3.38
Bi 0.0000 0.5000 0.0000  2 Dy 2.72
Bi 0.5000 0.0000 0.0000  2 Dy 2.72
Bi 0.5000 0.5000 0.2506  1 Pm 2.99, 1 Dy 3.00
Bi 0.5000 0.5000 0.7494  1 Pm 2.99, 1 Dy 3.00